# U2MnTl3Se6

A relaxed structure of U2MnTl3Se6 (PBE, the Alexandria database).

Output
Raw total energy (eV for the cell shown): -69.0
ρ (kg/m3): 7895
M_tot (μB/cell): 0.0
ΔE_f (raw) (meV per atom): -767

Cell lengths 7.0642, 7.0642, 8.2193 Å; angles 98.24, 98.24, 120.00 degrees
Each line ends with the local moment (μB).
Fractional positions:
Se1 0.7422 0.7422 0.2014  -0.07
Se2 0.6089 0.9336 0.8000  -0.07
Se3 0.9336 0.6089 0.8000  -0.07
Se4 0.0664 0.3911 0.2000  -0.07
Se5 0.2578 0.2578 0.7986  -0.07
Se6 0.3911 0.0664 0.2000  -0.07
Tl1 0.1693 0.8307 0.5000  -0.01
Tl2 0.5000 0.5000 0.5000  -0.01
Tl3 0.8307 0.1693 0.5000  -0.01
Mn1 0.0000 0.0000 0.0000  -4.21
U1 0.6663 0.3337 0.0000  2.33
U2 0.3337 0.6663 0.0000  2.33